Entry 1:
Crystalline BaYSc2 at its relaxed geometry. Source: Alexandria, functional PBE.

```
data_BaYSc2
_cell_length_a 3.5713
_cell_length_b 3.5713
_cell_length_c 34.7774
_cell_angle_alpha 90.00
_cell_angle_beta 90.00
_cell_angle_gamma 120.00
_space_group_name_H-M_alt 'R -3 m'
_space_group_IT_number 166
_space_group_name_Hall '-R 3 2"'
loop_
_atom_site_label
_atom_site_type_symbol
_atom_site_fract_x
_atom_site_fract_y
_atom_site_fract_z
_atom_site_occupancy
Ba1 Ba 0.0000 0.0000 0.0000 1
Y1 Y 0.0000 0.0000 0.5000 1
Sc1 Sc 0.0000 0.0000 0.2433 1
```

## Properties
Energy above the lowest structure with this stoichiometry, eV per formula unit: 0.33
Total magnetization, μB per atom: 0.001
DFT formation energy, meV per atom: 276.3

---

Entry 2:
Crystalline CaAg2Pb at its relaxed geometry. Source: Alexandria, functional PBE.

```
data_CaAg2Pb
_cell_length_a 4.655
_cell_length_b 4.655
_cell_length_c 20.123
_cell_angle_alpha 90.00
_cell_angle_beta 90.00
_cell_angle_gamma 90.00
_space_group_name_H-M_alt 'I -4 2 d'
_space_group_IT_number 122
_space_group_name_Hall 'I -4 2bw'
loop_
_atom_site_label
_atom_site_type_symbol
_atom_site_fract_x
_atom_site_fract_y
_atom_site_fract_z
_atom_site_occupancy
Ca1 Ca 0.000 0.000 0.000 1
Ag1 Ag 0.194 0.250 0.625 1
Pb1 Pb 0.000 0.000 0.500 1
```

## Properties
Total magnetization, μB per atom: 0.000
DFT formation energy, meV per atom: 19.0

---

Entry 3:
Crystalline AlZnSb2 at its relaxed geometry. Source: Alexandria, functional PBE.

```
data_AlZnSb2
_cell_length_a 8.203
_cell_length_b 7.994
_cell_length_c 3.004
_cell_angle_alpha 90.00
_cell_angle_beta 97.89
_cell_angle_gamma 90.00
_space_group_name_H-M_alt 'C 1 2/m 1'
_space_group_IT_number 12
_space_group_name_Hall '-C 2y'
loop_
_atom_site_label
_atom_site_type_symbol
_atom_site_fract_x
_atom_site_fract_y
_atom_site_fract_z
_atom_site_occupancy
Al1 Al 0.000 0.000 0.000 1
Zn1 Zn 0.000 0.500 0.000 1
Sb1 Sb 0.250 0.250 0.000 1
```

## Properties
Energy above the lowest structure with this stoichiometry, eV per formula unit: 0.68
Total magnetization, μB per atom: 0.000
Raw formation energy, kJ/mol of atoms: 16

---

Entry 4:
Crystalline Sc3As at its relaxed geometry. Source: Alexandria, functional PBE.

```
data_Sc3As
_cell_length_a 3.668
_cell_length_b 4.299
_cell_length_c 5.397
_cell_angle_alpha 90.00
_cell_angle_beta 90.00
_cell_angle_gamma 90.00
_space_group_name_H-M_alt 'P m m 2'
_space_group_IT_number 25
_space_group_name_Hall 'P 2 -2'
loop_
_atom_site_label
_atom_site_type_symbol
_atom_site_fract_x
_atom_site_fract_y
_atom_site_fract_z
_atom_site_occupancy
Sc1 Sc 0.000 0.000 0.000 1
Sc2 Sc 0.000 0.500 0.426 1
Sc3 Sc 0.500 0.500 0.868 1
As1 As 0.500 0.000 0.537 1
```

## Properties
Total magnetization, μB per atom: 0.000
DFT formation energy, meV per atom: -447.4